! BeAl2B PBE relaxed; values from VASP
! - N(E_F) (states/eV/cell) = 1.7
! - size of the total moment (μB per atom) = 0.000
! - formation energy from the elements (eV per atom) = 0.099
&SYSTEM
  ibrav = 0, nat = 16, ntyp = 3
/
ATOMIC_SPECIES
Be 9.01 Be.upf
Al 26.98 Al.upf
B 10.81 B.upf
ATOMIC_POSITIONS angstrom
Be -0.383 1.875 0.163
Be 0.750 0.132 0.722
Be 1.048 2.544 5.966
Be 2.181 0.801 6.525
Al -0.615 -0.939 4.698
Al -0.410 1.197 3.102
Al -1.200 1.785 5.674
Al -0.291 3.624 1.986
Al 2.089 -0.948 4.702
Al 2.998 0.891 1.014
Al 2.208 1.479 3.586
Al 2.413 3.615 1.990
B -1.600 2.942 3.718
B 1.043 1.843 1.599
B 0.755 0.833 5.089
B 3.398 -0.266 2.970
CELL_PARAMETERS angstrom
5.415 0.000 0.000
-2.296 5.294 0.000
-1.322 -2.618 6.688